A plane-wave DFT calculation with PBE+U was carried out for a relaxed SrCaFeP2O8 crystal.

Cell: 5.725 6.939 9.596 Å, 109.23 101.58 98.75°
Element x y z (fractional)
1 Sr 0.232 0.192 0.440
2 Sr 0.768 0.808 0.560
3 Ca 0.489 0.580 0.836
4 Ca 0.511 0.420 0.164
5 Fe 0.135 0.842 0.059
6 Fe 0.865 0.158 0.941
7 P 0.117 0.585 0.281
8 P 0.338 0.037 0.800
9 P 0.662 0.963 0.200
10 P 0.883 0.415 0.719
11 O 0.080 0.417 0.116
12 O 0.111 0.454 0.660
13 O 0.129 0.967 0.869
14 O 0.164 0.805 0.270
15 O 0.233 0.006 0.632
16 O 0.350 0.556 0.380
17 O 0.461 0.094 0.188
18 O 0.476 0.270 0.904
19 O 0.524 0.730 0.096
20 O 0.539 0.906 0.812
21 O 0.650 0.444 0.620
22 O 0.767 0.994 0.368
23 O 0.836 0.195 0.730
24 O 0.871 0.033 0.131
25 O 0.889 0.546 0.340
26 O 0.920 0.583 0.884

Results
Energy relative to the lowest polymorph listed for this composition   0 meV per atom
Total moment   8.0 μB per cell
Final energy   -0.52803 Ry/atom
Symmetry   P-1, No. 2